# Os2RhBr

Crystalline Os2RhBr at its relaxed geometry (PBE-GGA, Alexandria).

Structure (extended XYZ):
```
4
Lattice="2.8052 0.0000 0.0000 0.0000 3.5840 0.0000 0.0000 0.0000 7.0447" Properties=species:S:1:pos:R:3 pbc="T T T"
Os 0.0000 0.0000 0.0000
Os 1.4026 1.7920 1.2181
Rh 1.4026 1.7920 5.5931
Br 1.4026 0.0000 3.3467
```

## Properties
The calculated volume comes out at 17.707 A^3/atom. As for the raw formation energy: 0.61 eV/atom. Its total energy is -7.261 eV per atom.



# Pu2GaSb

Crystalline Pu2GaSb at its relaxed geometry (PBE-GGA, Alexandria).

Structure (extended XYZ):
```
4
Lattice="4.0037 0.0000 0.0000 0.0000 4.0037 0.0000 0.0000 0.0000 6.0783" Properties=species:S:1:pos:R:3 pbc="T T T"
Pu 0.0000 0.0000 1.4845
Pu 0.0000 0.0000 4.5939
Ga 2.0019 2.0019 0.0000
Sb 2.0019 2.0019 3.0392
```

## Properties
The calculated volume comes out at 24.359 A^3/atom. As for the raw formation energy: -0.45 eV/atom. Its total energy is -9.407 eV per atom.



# CuWS3

Crystalline CuWS3 at its relaxed geometry (PBE-GGA, Alexandria).

Structure (extended XYZ):
```
5
Lattice="4.4120 0.0000 0.0000 0.0000 4.4120 0.0000 0.0000 0.0000 4.4120" Properties=species:S:1:pos:R:3 pbc="T T T"
Cu 0.0000 0.0000 0.0000
W 2.2060 2.2060 2.2060
S 0.0000 0.0000 2.2060
S 0.0000 2.2060 0.0000
S 2.2060 0.0000 0.0000
```

## Properties
The calculated volume comes out at 17.177 A^3/atom. As for the raw formation energy: 1.10 eV/atom. Its total energy is -4.787 eV per atom.



# YRe2Tc

Crystalline YRe2Tc at its relaxed geometry (PBE-GGA, Alexandria).

Structure (extended XYZ):
```
4
Lattice="2.9041 0.0000 0.0000 0.0000 4.3353 0.0000 -1.0723 0.0000 5.5801" Properties=species:S:1:pos:R:3 pbc="T T T"
Y 0.0000 0.0000 0.0000
Re 0.9264 0.0000 2.7933
Re 1.7723 2.1676 1.6522
Tc -0.0067 2.1676 4.0025
```

## Properties
The calculated volume comes out at 17.563 A^3/atom. The formation energy is 0.3288 eV/atom. Its total energy is -10.103 eV per atom.



# RePtN

Crystalline RePtN at its relaxed geometry (PBE-GGA, Alexandria).

Structure (extended XYZ):
```
12
Lattice="2.7290 0.0000 0.0000 0.0000 4.3233 0.0000 0.0000 0.0000 16.0263" Properties=species:S:1:pos:R:3 pbc="T T T"
Re 0.0000 0.0000 0.0000
Re 0.0000 2.1616 3.5304
Re 1.3645 0.0000 11.5436
Re 1.3645 2.1616 8.0132
Pt 0.0000 0.0000 8.9013
Pt 0.0000 2.1616 10.6053
Pt 1.3645 0.0000 2.5922
Pt 1.3645 2.1616 0.8881
N 0.0000 0.0000 13.0026
N 0.0000 0.0000 14.2501
N 1.3645 2.1616 4.9895
N 1.3645 2.1616 6.2370
```

## Properties
The calculated volume comes out at 15.757 A^3/atom. As for the raw formation energy: 0.19 eV/atom. Its total energy is -8.745 eV per atom.



# Ho2MgHg4

Crystalline Ho2MgHg4 at its relaxed geometry (PBE-GGA, Alexandria).

Structure (extended XYZ):
```
14
Lattice="5.1941 0.0000 0.0000 0.0000 5.1941 0.0000 0.0000 0.0000 15.2307" Properties=species:S:1:pos:R:3 pbc="T T T"
Ho 0.0000 0.0000 1.7366
Ho 0.0000 0.0000 13.4941
Ho 2.5970 2.5970 5.8788
Ho 2.5970 2.5970 9.3519
Mg 0.0000 0.0000 7.6153
Mg 2.5970 2.5970 0.0000
Hg 0.0000 0.0000 4.7395
Hg 0.0000 0.0000 10.4912
Hg 0.0000 2.5970 0.0000
Hg 0.0000 2.5970 7.6153
Hg 2.5970 0.0000 0.0000
Hg 2.5970 0.0000 7.6153
Hg 2.5970 2.5970 2.8759
Hg 2.5970 2.5970 12.3548
```

## Properties
The calculated volume comes out at 29.350 A^3/atom. The formation energy is -0.0335 eV/atom. Its total energy is -1.742 eV per atom.



# CaCoB

Crystalline CaCoB at its relaxed geometry (PBE-GGA, Alexandria).

Structure (extended XYZ):
```
6
Lattice="3.5907 0.0000 0.0000 0.0000 3.5907 0.0000 0.0000 0.0000 7.9932" Properties=species:S:1:pos:R:3 pbc="T T T"
Ca 0.8977 0.8977 1.6576
Ca 2.6930 2.6930 6.3356
Co 0.8977 2.6930 3.9966
Co 2.6930 0.8977 3.9966
B 0.8977 0.8977 4.8504
B 2.6930 2.6930 3.1428
```

## Properties
The calculated volume comes out at 17.176 A^3/atom. The formation energy is -0.3379 eV/atom. Its total energy is -5.600 eV per atom.



# TaAgO2F

Crystalline TaAgO2F at its relaxed geometry (PBE-GGA, Alexandria).

Structure (extended XYZ):
```
5
Lattice="3.9847 0.0000 0.0000 0.0000 3.9847 0.0000 0.0000 0.0000 4.2467" Properties=species:S:1:pos:R:3 pbc="T T T"
Ta 0.0000 0.0000 0.0000
Ag 1.9923 1.9923 2.1233
O 0.0000 1.9923 0.0000
O 1.9923 0.0000 0.0000
F 0.0000 0.0000 2.1233
```

## Properties
The calculated volume comes out at 13.486 A^3/atom. As for the raw formation energy: -1.84 eV/atom. Its total energy is -7.142 eV per atom.



# LaPm2Tm6

Crystalline LaPm2Tm6 at its relaxed geometry (PBE-GGA, Alexandria).

Structure (extended XYZ):
```
9
Lattice="9.7004 0.0000 0.0000 -4.8502 8.4008 0.0000 0.0000 0.0000 3.5222" Properties=species:S:1:pos:R:3 pbc="T T T"
La 0.0000 0.0000 0.0000
Pm 0.0000 5.6005 0.8352
Pm 4.8502 2.8003 2.6870
Tm -1.4960 2.9694 2.5751
Tm -1.5306 8.2117 2.5751
Tm 1.8236 2.7803 0.9471
Tm 3.0266 5.6206 2.5751
Tm 6.3809 0.1891 0.9471
Tm 6.3462 5.4314 0.9471
```

## Properties
The calculated volume comes out at 31.892 A^3/atom. The formation energy is 0.0744 eV/atom. Its total energy is -4.510 eV per atom.



# SrTl3P

Crystalline SrTl3P at its relaxed geometry (PBE-GGA, Alexandria).

Structure (extended XYZ):
```
5
Lattice="5.4956 0.0000 0.0000 0.0000 5.4956 0.0000 0.0000 0.0000 5.4956" Properties=species:S:1:pos:R:3 pbc="T T T"
Sr 0.0000 0.0000 0.0000
Tl 0.0000 2.7478 2.7478
Tl 2.7478 0.0000 2.7478
Tl 2.7478 2.7478 0.0000
P 2.7478 2.7478 2.7478
```

## Properties
The calculated volume comes out at 33.195 A^3/atom. The formation energy is 0.1366 eV/atom. Its total energy is -2.701 eV per atom.



# CaTi2Au

Crystalline CaTi2Au at its relaxed geometry (PBE-GGA, Alexandria).

Structure (extended XYZ):
```
16
Lattice="4.1092 0.0000 0.0000 0.0000 4.1092 0.0000 0.0000 0.0000 21.3519" Properties=species:S:1:pos:R:3 pbc="T T T"
Ca 0.0000 0.0000 0.0000
Ca 0.0000 2.0546 5.3380
Ca 2.0546 0.0000 16.0139
Ca 2.0546 2.0546 10.6759
Ti 0.5409 1.0273 13.3449
Ti 1.0273 2.5955 18.6829
Ti 1.0273 3.5683 8.0070
Ti 1.5137 1.0273 2.6690
Ti 2.5955 3.0819 2.6690
Ti 3.0819 0.5409 8.0070
Ti 3.0819 1.5137 18.6829
Ti 3.5683 3.0819 13.3449
Au 0.0000 0.0000 10.6759
Au 0.0000 2.0546 16.0139
Au 2.0546 0.0000 5.3380
Au 2.0546 2.0546 0.0000
```

## Properties
The calculated volume comes out at 22.533 A^3/atom. The formation energy is 0.3018 eV/atom. Its total energy is -4.965 eV per atom.



# BeZnTc2

Crystalline BeZnTc2 at its relaxed geometry (PBE-GGA, Alexandria).

Structure (extended XYZ):
```
4
Lattice="3.6527 0.0000 0.0000 0.0000 3.6527 0.0000 0.0000 0.0000 3.9698" Properties=species:S:1:pos:R:3 pbc="T T T"
Be 0.0000 0.0000 0.0000
Zn 1.8263 1.8263 0.0000
Tc 0.0000 1.8263 1.9849
Tc 1.8263 0.0000 1.9849
```

## Properties
The calculated volume comes out at 13.241 A^3/atom. The formation energy is 0.2123 eV/atom. Its total energy is -6.221 eV per atom.